(1)
# Tb2Sm2Dy4Er

A geometry-optimized Tb2Sm2Dy4Er structure (GGA-PBE, the Alexandria database).

Results
**ΔE_f**: -0.01 eV per formula unit

a b c (Å): 18.6467 3.5911 9.5489
angles (deg): 90.00 115.71 90.00
Space group C2/m (No. 12)
Symmetry-distinct sites (fractional):
Tb (0.1475, 0.0000, 0.1642) (multiplicity 4)
Sm (0.1657, 0.5000, 0.4996) (multiplicity 4)
Dy (0.0189, 0.5000, 0.8335) (multiplicity 4)
Dy (0.1852, 0.0000, 0.8346) (multiplicity 4)
Er (0.0000, 0.0000, 0.5000) (multiplicity 2)

(2)
# TiTcBi3

A geometry-optimized TiTcBi3 structure (GGA-PBE, the Alexandria database).

Results
**ΔE_f**: 4.48 eV per formula unit
**E above lowest polymorph**: 0 meV per atom

a b c (Å): 5.3165 5.3165 5.3165
angles (deg): 90.00 90.00 90.00
Space group Pm-3m (No. 221)
Symmetry-distinct sites (fractional):
Ti (0.0000, 0.0000, 0.0000) (multiplicity 1)
Tc (0.5000, 0.5000, 0.5000) (multiplicity 1)
Bi (0.0000, 0.5000, 0.5000) (multiplicity 3)

(3)
# K2SrMnIn

A geometry-optimized K2SrMnIn structure (GGA-PBE, the Alexandria database).

Results
**ΔE_f**: 2.47 eV per formula unit

a b c (Å): 6.7876 6.7876 5.2466
angles (deg): 90.00 90.00 90.00
Space group P4/mmm (No. 123)
Symmetry-distinct sites (fractional):
K (0.0000, 0.5000, 0.0000) (multiplicity 2)
Sr (0.0000, 0.0000, 0.5000) (multiplicity 1)
Mn (0.5000, 0.5000, 0.5000) (multiplicity 1)
In (0.5000, 0.5000, 0.0000) (multiplicity 1)

(4)
# LiLaCu3

A geometry-optimized LiLaCu3 structure (GGA-PBE, the Alexandria database).

Results
**ΔE_f**: 0.61 eV per formula unit
**E above lowest polymorph**: 0 meV per atom

a b c (Å): 4.4990 4.4990 4.4990
angles (deg): 90.00 90.00 90.00
Space group Pm-3m (No. 221)
Symmetry-distinct sites (fractional):
Li (0.0000, 0.0000, 0.0000) (multiplicity 1)
La (0.5000, 0.5000, 0.5000) (multiplicity 1)
Cu (0.0000, 0.0000, 0.5000) (multiplicity 3)

(5)
# Sr2CuBr2O2

A geometry-optimized Sr2CuBr2O2 structure (GGA-PBE, the Alexandria database).

Results
**Uncorrected formation energy**: -1526 meV/atom
**E above lowest polymorph**: 401 meV per atom

a b c (Å): 4.9760 4.9760 6.4899
angles (deg): 90.00 90.00 90.00
Space group P4/mmm (No. 123)
Symmetry-distinct sites (fractional):
Sr (0.0000, 0.5000, 0.0000) (multiplicity 2)
Cu (0.0000, 0.0000, 0.5000) (multiplicity 1)
Br (0.0000, 0.5000, 0.5000) (multiplicity 2)
O (0.0000, 0.0000, 0.0000) (multiplicity 1)
O (0.5000, 0.5000, 0.0000) (multiplicity 1)

(6)
# PmGaCoSi

A geometry-optimized PmGaCoSi structure (GGA-PBE, the Alexandria database).

Results
**Uncorrected formation energy**: -616 meV/atom

a b c (Å): 3.9882 3.9882 15.7530
angles (deg): 90.00 90.00 120.00
Space group R3m (No. 160, hexagonal axes)
Symmetry-distinct sites (fractional):
Pm (0.0000, 0.0000, 0.0000) (multiplicity 3)
Ga (0.0000, 0.0000, 0.2077) (multiplicity 3)
Co (0.0000, 0.0000, 0.4858) (multiplicity 3)
Si (0.0000, 0.0000, 0.7902) (multiplicity 3)

(7)
# SrMgMn2

A geometry-optimized SrMgMn2 structure (GGA-PBE, the Alexandria database).

Results
**ΔE_f**: 2.29 eV per formula unit

a b c (Å): 3.3591 5.2568 10.5424
angles (deg): 90.00 90.00 90.00
Space group Imm2 (No. 44)
Symmetry-distinct sites (fractional):
Sr (0.0000, 0.0000, 0.0000) (multiplicity 2)
Mg (0.0000, 0.5000, 0.7885) (multiplicity 2)
Mn (0.0000, 0.0000, 0.5195) (multiplicity 2)
Mn (0.0000, 0.5000, 0.2201) (multiplicity 2)

(8)
# InSnCl3

A geometry-optimized InSnCl3 structure (GGA-PBE, the Alexandria database).

Results
**Uncorrected formation energy**: -928 meV/atom

a b c (Å): 9.1569 7.2312 10.6727
angles (deg): 90.00 100.19 90.00
Space group P2_1/c (No. 14)
Symmetry-distinct sites (fractional):
In (0.0236, 0.2175, 0.1032) (multiplicity 4)
Sn (0.4044, 0.2309, 0.8789) (multiplicity 4)
Cl (0.1517, 0.0781, 0.3762) (multiplicity 4)
Cl (0.2487, 0.5057, 0.2411) (multiplicity 4)
Cl (0.3540, 0.0665, 0.0884) (multiplicity 4)

(9)
# Ba4GaSn

A geometry-optimized Ba4GaSn structure (GGA-PBE, the Alexandria database).

Results
**ΔE_f**: -2.23 eV per formula unit

a b c (Å): 10.8505 15.7616 7.7185
angles (deg): 90.00 121.27 90.00
Space group C2/c (No. 15)
Symmetry-distinct sites (fractional):
Ba (0.1195, 0.1742, 0.0775) (multiplicity 8)
Ba (0.2012, 0.4437, 0.2741) (multiplicity 8)
Ga (0.0000, 0.0045, 0.2500) (multiplicity 4)
Sn (0.0000, 0.3636, 0.7500) (multiplicity 4)

(10)
# Ba2CrCu

A geometry-optimized Ba2CrCu structure (GGA-PBE, the Alexandria database).

Results
**ΔE_f**: 2.75 eV per formula unit
**E above lowest polymorph**: 333 meV per atom

a b c (Å): 8.8988 8.8988 7.3290
angles (deg): 90.00 90.00 90.00
Space group I-42d (No. 122)
Symmetry-distinct sites (fractional):
Ba (0.2219, 0.2500, 0.1250) (multiplicity 8)
Cr (0.0000, 0.0000, 0.5000) (multiplicity 4)
Cu (0.0000, 0.0000, 0.0000) (multiplicity 4)

(11)
# TbRe3C3

A geometry-optimized TbRe3C3 structure (GGA-PBE, the Alexandria database).

Results
**ΔE_f**: 1.39 eV per formula unit

a b c (Å): 5.9728 5.9728 19.7293
angles (deg): 90.00 90.00 120.00
Space group R-3 (No. 148, hexagonal axes)
Symmetry-distinct sites (fractional):
Tb (0.0000, 0.0000, 0.1703) (multiplicity 6)
Re (0.0124, 0.6408, 0.2861) (multiplicity 18)
C (0.0079, 0.7035, 0.7334) (multiplicity 18)

(12)
# Rb2TcHgN

A geometry-optimized Rb2TcHgN structure (GGA-PBE, the Alexandria database).

Results
**Uncorrected formation energy**: 1765 meV/atom

a b c (Å): 6.7566 6.7566 5.2564
angles (deg): 90.00 90.00 90.00
Space group P4/mmm (No. 123)
Symmetry-distinct sites (fractional):
Rb (0.0000, 0.5000, 0.0000) (multiplicity 2)
Tc (0.0000, 0.0000, 0.5000) (multiplicity 1)
Hg (0.0000, 0.0000, 0.0000) (multiplicity 1)
N (0.5000, 0.5000, 0.5000) (multiplicity 1)

(13)
# BeZn

A geometry-optimized BeZn structure (GGA-PBE, the Alexandria database).

Results
**ΔE_f**: 0.41 eV per formula unit

a b c (Å): 3.7955 3.7955 11.7142
angles (deg): 90.00 90.00 120.00
Space group R-3m (No. 166, hexagonal axes)
Symmetry-distinct sites (fractional):
Be (0.0000, 0.0000, 0.1781) (multiplicity 6)
Zn (0.0000, 0.0000, 0.3947) (multiplicity 6)

(14)
# Sr2VSi

A geometry-optimized Sr2VSi structure (GGA-PBE, the Alexandria database).

Results
**Uncorrected formation energy**: 323 meV/atom

a b c (Å): 11.5061 11.5061 4.8436
angles (deg): 90.00 90.00 90.00
Space group I-42d (No. 122)
Symmetry-distinct sites (fractional):
Sr (0.0804, 0.2500, 0.1250) (multiplicity 8)
V (0.0000, 0.0000, 0.5000) (multiplicity 4)
Si (0.0000, 0.0000, 0.0000) (multiplicity 4)

(15)
# Mn2CoBr

A geometry-optimized Mn2CoBr structure (GGA-PBE, the Alexandria database).

Results
**Uncorrected formation energy**: 671 meV/atom
**E above lowest polymorph**: 446 meV per atom

a b c (Å): 3.7473 3.7473 8.8896
angles (deg): 90.00 90.00 90.00
Space group I-4m2 (No. 119)
Symmetry-distinct sites (fractional):
Mn (0.0000, 0.0000, 0.0000) (multiplicity 2)
Mn (0.0000, 0.5000, 0.2500) (multiplicity 2)
Co (0.0000, 0.0000, 0.5000) (multiplicity 2)
Br (0.0000, 0.5000, 0.7500) (multiplicity 2)

(16)
# PrDy3Mg

A geometry-optimized PrDy3Mg structure (GGA-PBE, the Alexandria database).

Results
**ΔE_f**: -0.07 eV per formula unit
**E above lowest polymorph**: 0 meV per atom

a b c (Å): 3.7135 6.7878 12.8072
angles (deg): 93.21 90.02 105.87
Space group P-1 (No. 2)
Symmetry-distinct sites (fractional):
Pr (0.2353, 0.4695, 0.2576) (multiplicity 2)
Dy (0.0362, 0.0722, 0.6870) (multiplicity 2)
Dy (0.1487, 0.2979, 0.9434) (multiplicity 2)
Dy (0.3658, 0.7327, 0.5235) (multiplicity 2)
Mg (0.4453, 0.8913, 0.8759) (multiplicity 2)

(17)
# NaTlSn

A geometry-optimized NaTlSn structure (GGA-PBE, the Alexandria database).

Results
**ΔE_f**: -0.38 eV per formula unit

a b c (Å): 4.6181 6.0571 7.0349
angles (deg): 69.81 89.86 67.87
Space group P1 (No. 1)
Symmetry-distinct sites (fractional):
Na (0.0000, 0.0000, 0.0000) (multiplicity 1)
Na (0.3305, 0.3400, 0.6531) (multiplicity 1)
Tl (0.3289, 0.3415, 0.1556) (multiplicity 1)
Tl (0.6658, 0.6679, 0.3277) (multiplicity 1)
Sn (0.0119, 0.9833, 0.5120) (multiplicity 1)
Sn (0.6534, 0.6951, 0.7959) (multiplicity 1)

(18)
# Ca8GePb2

A geometry-optimized Ca8GePb2 structure (GGA-PBE, the Alexandria database).

Results
**ΔE_f**: -4.34 eV per formula unit

a b c (Å): 19.4766 5.3396 7.2953
angles (deg): 90.00 106.80 90.00
Space group C2/m (No. 12)
Symmetry-distinct sites (fractional):
Ca (0.0240, 0.0000, 0.2899) (multiplicity 4)
Ca (0.0929, 0.5000, 0.9278) (multiplicity 4)
Ca (0.1512, 0.5000, 0.4548) (multiplicity 4)
Ca (0.2096, 0.0000, 0.7957) (multiplicity 4)
Ge (0.0000, 0.5000, 0.5000) (multiplicity 2)
Pb (0.1850, 0.0000, 0.2162) (multiplicity 4)

(19)
# La2Pr8Y3

A geometry-optimized La2Pr8Y3 structure (GGA-PBE, the Alexandria database).

Results
**ΔE_f**: 1.92 eV per formula unit
**E above lowest polymorph**: 0 meV per atom

a b c (Å): 13.6113 11.9839 6.2392
angles (deg): 90.00 114.16 90.00
Space group C2/m (No. 12)
Symmetry-distinct sites (fractional):
La (0.1890, 0.0000, 0.3425) (multiplicity 4)
Pr (0.0857, 0.0000, 0.7646) (multiplicity 4)
Pr (0.1385, 0.5000, 0.1071) (multiplicity 4)
Pr (0.1633, 0.2594, 0.6593) (multiplicity 8)
Y (0.0000, 0.2390, 0.0000) (multiplicity 4)
Y (0.0000, 0.5000, 0.5000) (multiplicity 2)

(20)
# Re3Br

A geometry-optimized Re3Br structure (GGA-PBE, the Alexandria database).

Results
**Uncorrected formation energy**: 779 meV/atom
**E above lowest polymorph**: 0 meV per atom

a b c (Å): 2.9217 2.9217 7.4354
angles (deg): 90.00 90.00 90.00
Space group P4/mmm (No. 123)
Symmetry-distinct sites (fractional):
Re (0.0000, 0.0000, 0.0000) (multiplicity 1)
Re (0.5000, 0.5000, 0.2362) (multiplicity 2)
Br (0.0000, 0.0000, 0.5000) (multiplicity 1)

| no. | density of states at the Fermi level (states/eV/f.u.) | energy (eV/f.u.) |
| --- | --- | --- |
| 1 | 11.770 | -41.68 |
| 2 | 8.447 | -25.42 |
| 3 | 3.759 | -13.31 |
| 4 | 2.671 | -18.52 |
| 5 | 5.351 | -31.41 |
| 6 | 2.961 | -22.77 |
| 7 | 3.089 | -19.32 |
| 8 | 0.000 | -16.92 |
| 9 | 6.943 | -16.95 |
| 10 | 4.224 | -14.81 |
| 11 | 3.453 | -68.26 |
| 12 | 12.687 | -12.10 |
| 13 | 0.931 | -4.59 |
| 14 | 4.093 | -16.61 |
| 15 | 3.003 | -24.43 |
| 16 | 6.590 | -20.25 |
| 17 | 1.162 | -8.06 |
| 18 | 8.637 | -32.39 |
| 19 | 21.822 | -65.57 |
| 20 | 2.964 | -35.90 |